Entry 1:
DFT (PBE-GGA) results for a relaxed Ca2ZnP2H4O10 crystal.

raw total energy	-118.95	eV per cell
ρ	3.20	Mg/m³
crystal system	triclinic

a = 5.5569 Å, b = 5.7899 Å, c = 6.8596 Å
α = 107.52°, β = 97.17°, γ = 109.14°
Space group P-1 (No. 2)
Symmetry-distinct sites (fractional):
Ca: 0.1493 0.2965 0.2642 (multiplicity 2)
Zn: 0.5000 0.0000 0.5000 (multiplicity 1)
P: 0.1677 0.3419 0.7448 (multiplicity 2)
H: 0.3511 0.8724 0.1017 (multiplicity 2)
H: 0.4193 0.8304 0.8128 (multiplicity 2)
O: 0.0866 0.7411 0.4323 (multiplicity 2)
O: 0.1349 0.1681 0.8777 (multiplicity 2)
O: 0.2218 0.6328 0.8823 (multiplicity 2)
O: 0.3983 0.3452 0.6332 (multiplicity 2)
O: 0.4269 0.0479 0.2223 (multiplicity 2)


Entry 2:
DFT (PBE-GGA) results for a relaxed CaHPdO2 crystal.

raw total energy	-26.32	eV per cell
ρ	5.20	Mg/m³
crystal system	tetragonal

a = 4.1422 Å, b = 4.1422 Å, c = 3.3432 Å
α = 90.00°, β = 90.00°, γ = 90.00°
Space group P4/mmm (No. 123)
Symmetry-distinct sites (fractional):
Ca: 0.0000 0.0000 0.0000 (multiplicity 1)
H: 0.5000 0.5000 0.0000 (multiplicity 1)
Pd: 0.5000 0.5000 0.5000 (multiplicity 1)
O: 0.0000 0.5000 0.5000 (multiplicity 2)


Entry 3:
DFT (PBE-GGA) results for a relaxed Ca2H2PtO6 crystal.

raw total energy	-179.76	eV per cell
ρ	5.51	Mg/m³
crystal system	trigonal

a = 5.0857 Å, b = 5.0857 Å, c = 15.0604 Å
α = 90.00°, β = 90.00°, γ = 120.00°
Space group R-3m (No. 166, hexagonal axes)
Symmetry-distinct sites (fractional):
Ca: 0.0000 0.0000 0.2208 (multiplicity 6)
H: 0.0000 0.0000 0.4092 (multiplicity 6)
Pt: 0.0000 0.0000 0.0000 (multiplicity 3)
O: 0.0128 0.5064 0.2495 (multiplicity 18)